[1]
The following is a GGA-PBE calculation of an optimized crystal structure of Na2PuHg4, from Alexandria via LeMat-Bulk.

Its formation energy is -0.081 eV/atom.

The space group is I4/mmm (No. 139) and the conventional cell measures 4.9587, 4.9587 and 16.1834 Å, with angles of 90.00, 90.00 and 90.00 degrees. The distinct sites, in fractional coordinates, are Na at (0.0000, 0.0000, 0.2472), Pu at (0.0000, 0.0000, 0.5000) and Hg at (0.0000, 0.5000, 0.1210).

[2]
The following is a GGA-PBE calculation of an optimized crystal structure of Mn2Al6Ga, from Alexandria via LeMat-Bulk.

Its formation energy is -0.100 eV/atom.

The space group is C2/m (No. 12) and the conventional cell measures 12.0328, 3.7578 and 6.2808 Å, with angles of 90.00, 111.79 and 90.00 degrees. The distinct sites, in fractional coordinates, are Mn at (0.0547, 0.0000, 0.3170), Al at (0.1036, 0.5000, 0.6544), Al at (0.1664, 0.0000, 0.0038), Al at (0.2207, 0.5000, 0.3460) and Ga at (0.0000, 0.5000, 0.0000).

[3]
The following is a GGA-PBE calculation of an optimized crystal structure of BaTa2IF, from Alexandria via LeMat-Bulk.

The space group is P4/mmm (No. 123) and the conventional cell measures 5.8261, 5.8261 and 4.7757 Å, with angles of 90.00, 90.00 and 90.00 degrees. The distinct sites, in fractional coordinates, are Ba at (0.0000, 0.0000, 0.0000), Ta at (0.0000, 0.5000, 0.0000), I at (0.5000, 0.5000, 0.5000) and F at (0.0000, 0.0000, 0.5000).

no.,calculated density (g cm⁻³),E (eV/atom)
1,9.117,-2.68
2,4.301,-4.97
3,6.609,-4.34